<P>
DFT (GGA-PBE) results for a relaxed ScTe2W crystal.

Computed properties:
D(E_F) ... 5.4 states/eV/cell

```
data_ScTe2W
_chemical_formula_sum 'Sc3 Te6 W3'
_cell_length_a 3.3517
_cell_length_b 3.3517
_cell_length_c 31.9547
_cell_angle_alpha 90.00
_cell_angle_beta 90.00
_cell_angle_gamma 120.00
_space_group_name_H-M_alt 'R 3 m'
_space_group_IT_number 160
_space_group_name_Hall 'R 3 -2"'
loop_
_atom_site_label
_atom_site_type_symbol
_atom_site_fract_x
_atom_site_fract_y
_atom_site_fract_z
Sc1 Sc 0.0000 0.0000 0.0000
Te1 Te 0.0000 0.0000 0.2610
Te2 Te 0.0000 0.0000 0.4633
W1 W 0.0000 0.0000 0.7362
```

***

<Q>
DFT (GGA-PBE) results for a relaxed ScTe2W crystal.

Computed properties:
D(E_F) ... 3.0 states/eV/cell

```
data_ScTe2W
_chemical_formula_sum 'Sc1 Te2 W1'
_cell_length_a 4.9051
_cell_length_b 4.9051
_cell_length_c 3.4398
_cell_angle_alpha 90.00
_cell_angle_beta 90.00
_cell_angle_gamma 90.00
_space_group_name_H-M_alt 'P 4/m m m'
_space_group_IT_number 123
_space_group_name_Hall '-P 4 2'
loop_
_atom_site_label
_atom_site_type_symbol
_atom_site_fract_x
_atom_site_fract_y
_atom_site_fract_z
Sc1 Sc 0.0000 0.0000 0.0000
Te1 Te 0.0000 0.5000 0.5000
W1 W 0.5000 0.5000 0.0000
```

***

Relative to the most stable one, in meV per atom, the structures come out at <P> 0; <Q> 65.

***

<P>
DFT (GGA-PBE) results for a relaxed ScTeW crystal.

Computed properties:
D(E_F) ... 3.0 states/eV/cell

```
data_ScTeW
_chemical_formula_sum 'Sc1 Te1 W1'
_cell_length_a 3.3933
_cell_length_b 3.3933
_cell_length_c 6.4717
_cell_angle_alpha 90.00
_cell_angle_beta 90.00
_cell_angle_gamma 120.00
_space_group_name_H-M_alt 'P 3 m 1'
_space_group_IT_number 156
loop_
_space_group_symop_operation_xyz
'x,y,z'
'-y,x-y,z'
'-x+y,-x,z'
'-y,-x,z'
'-x+y,y,z'
'x,x-y,z'
loop_
_atom_site_label
_atom_site_type_symbol
_atom_site_fract_x
_atom_site_fract_y
_atom_site_fract_z
Sc1 Sc 0.0000 0.0000 0.0000
Te1 Te 0.6667 0.3333 0.3826
W1 W 0.3333 0.6667 0.6802
```

***

<Q>
DFT (GGA-PBE) results for a relaxed ScTeW crystal.

Computed properties:
D(E_F) ... 4.6 states/eV/cell

```
data_ScTeW
_chemical_formula_sum 'Sc2 Te2 W2'
_cell_length_a 3.7189
_cell_length_b 3.7189
_cell_length_c 9.8618
_cell_angle_alpha 90.00
_cell_angle_beta 90.00
_cell_angle_gamma 90.00
_space_group_name_H-M_alt 'P 4/n m m'
_space_group_IT_number 129
loop_
_space_group_symop_operation_xyz
'x,y,z'
'-x,-y,-z'
'-y+1/2,x,z'
'y+1/2,-x,-z'
'-x+1/2,-y+1/2,z'
'x+1/2,y+1/2,-z'
'y,-x+1/2,z'
'-y,x+1/2,-z'
'x+1/2,-y,-z'
'-x+1/2,y,z'
'-y,-x,-z'
'y,x,z'
'-x,y+1/2,-z'
'x,-y+1/2,z'
'y+1/2,x+1/2,-z'
'-y+1/2,-x+1/2,z'
loop_
_atom_site_label
_atom_site_type_symbol
_atom_site_fract_x
_atom_site_fract_y
_atom_site_fract_z
Sc1 Sc 0.2500 0.2500 0.2424
Te1 Te 0.2500 0.2500 0.6447
W1 W 0.2500 0.2500 0.9642
```

***

<R>
DFT (GGA-PBE) results for a relaxed ScTeW crystal.

Computed properties:
D(E_F) ... 9.3 states/eV/cell

```
data_ScTeW
_chemical_formula_sum 'Sc4 Te4 W4'
_cell_length_a 3.6294
_cell_length_b 5.2003
_cell_length_c 13.0875
_cell_angle_alpha 90.00
_cell_angle_beta 90.00
_cell_angle_gamma 90.00
_space_group_name_H-M_alt 'F m m 2'
_space_group_IT_number 42
_space_group_name_Hall 'F 2 -2'
loop_
_atom_site_label
_atom_site_type_symbol
_atom_site_fract_x
_atom_site_fract_y
_atom_site_fract_z
Sc1 Sc 0.0000 0.0000 0.0000
Te1 Te 0.0000 0.0000 0.6773
W1 W 0.0000 0.0000 0.3378
```

***

Relative to the most stable one, in meV per atom, the structures come out at <P> 498; <Q> 0; <R> 629.

***

<P>
DFT (GGA-PBE) results for a relaxed ScTeW crystal.

Computed properties:
D(E_F) ... 8.1 states/eV/cell

```
data_ScTeW
_chemical_formula_sum 'Sc2 Te2 W2'
_cell_length_a 3.4730
_cell_length_b 3.4730
_cell_length_c 10.1217
_cell_angle_alpha 90.00
_cell_angle_beta 90.00
_cell_angle_gamma 90.00
_space_group_name_H-M_alt 'I 4 m m'
_space_group_IT_number 107
_space_group_name_Hall 'I 4 -2'
loop_
_atom_site_label
_atom_site_type_symbol
_atom_site_fract_x
_atom_site_fract_y
_atom_site_fract_z
Sc1 Sc 0.0000 0.0000 0.0000
Te1 Te 0.0000 0.0000 0.6967
W1 W 0.0000 0.0000 0.3270
```

***

<Q>
DFT (GGA-PBE) results for a relaxed ScTeW crystal.

Computed properties:
D(E_F) ... 2.1 states/eV/cell

```
data_ScTeW
_chemical_formula_sum 'Sc1 Te1 W1'
_cell_length_a 4.6988
_cell_length_b 4.6988
_cell_length_c 3.1832
_cell_angle_alpha 90.00
_cell_angle_beta 90.00
_cell_angle_gamma 120.00
_space_group_name_H-M_alt 'P -6 m 2'
_space_group_IT_number 187
_space_group_name_Hall 'P -6 2'
loop_
_atom_site_label
_atom_site_type_symbol
_atom_site_fract_x
_atom_site_fract_y
_atom_site_fract_z
Sc1 Sc 0.0000 0.0000 0.0000
Te1 Te 0.6667 0.3333 0.5000
W1 W 0.3333 0.6667 0.5000
```

***

Relative to the most stable one, in meV per atom, the structures come out at <P> 0; <Q> 52.

***

<P>
DFT (GGA-PBE) results for a relaxed Sc3TeW crystal.

Computed properties:
D(E_F) ... 6.0 states/eV/cell

```
data_Sc3TeW
_chemical_formula_sum 'Sc3 Te1 W1'
_cell_length_a 5.1844
_cell_length_b 5.1844
_cell_length_c 5.1844
_cell_angle_alpha 90.00
_cell_angle_beta 90.00
_cell_angle_gamma 90.00
_space_group_name_H-M_alt 'P m -3 m'
_space_group_IT_number 221
_space_group_name_Hall '-P 4 2 3'
loop_
_atom_site_label
_atom_site_type_symbol
_atom_site_fract_x
_atom_site_fract_y
_atom_site_fract_z
Sc1 Sc 0.0000 0.0000 0.5000
Te1 Te 0.0000 0.0000 0.0000
W1 W 0.5000 0.5000 0.5000
```

***

<Q>
DFT (GGA-PBE) results for a relaxed Sc3TeW crystal.

Computed properties:
D(E_F) ... 8.9 states/eV/cell

```
data_Sc3TeW
_chemical_formula_sum 'Sc3 Te1 W1'
_cell_length_a 5.0991
_cell_length_b 5.0991
_cell_length_c 5.0991
_cell_angle_alpha 90.00
_cell_angle_beta 90.00
_cell_angle_gamma 90.00
_space_group_name_H-M_alt 'P m -3 m'
_space_group_IT_number 221
_space_group_name_Hall '-P 4 2 3'
loop_
_atom_site_label
_atom_site_type_symbol
_atom_site_fract_x
_atom_site_fract_y
_atom_site_fract_z
Sc1 Sc 0.0000 0.0000 0.5000
Te1 Te 0.5000 0.5000 0.5000
W1 W 0.0000 0.0000 0.0000
```

***

Relative to the most stable one, in meV per atom, the structures come out at <P> 553; <Q> 0.

***

<P>
DFT (GGA-PBE) results for a relaxed YScTe2 crystal.

Computed properties:
D(E_F) ... 5.8 states/eV/cell

```
data_YScTe2
_chemical_formula_sum 'Y2 Sc2 Te4'
_cell_length_a 3.9496
_cell_length_b 4.0181
_cell_length_c 13.9048
_cell_angle_alpha 90.00
_cell_angle_beta 90.00
_cell_angle_gamma 90.00
_space_group_name_H-M_alt 'I m m 2'
_space_group_IT_number 44
loop_
_space_group_symop_operation_xyz
'x,y,z'
'-x,-y,z'
'-x,y,z'
'x,-y,z'
'x+1/2,y+1/2,z+1/2'
'-x+1/2,-y+1/2,z+1/2'
'-x+1/2,y+1/2,z+1/2'
'x+1/2,-y+1/2,z+1/2'
loop_
_atom_site_label
_atom_site_type_symbol
_atom_site_fract_x
_atom_site_fract_y
_atom_site_fract_z
Y1 Y 0.0000 0.0000 0.0000
Sc1 Sc 0.0000 0.5000 0.7464
Te1 Te 0.0000 0.0000 0.4071
Te2 Te 0.0000 0.5000 0.1686
```

***

<Q>
DFT (GGA-PBE) results for a relaxed YScTe2 crystal.

Computed properties:
D(E_F) ... 5.8 states/eV/cell

```
data_YScTe2
_chemical_formula_sum 'Y3 Sc3 Te6'
_cell_length_a 4.2907
_cell_length_b 4.2907
_cell_length_c 28.5206
_cell_angle_alpha 90.00
_cell_angle_beta 90.00
_cell_angle_gamma 120.00
_space_group_name_H-M_alt 'R 3 m'
_space_group_IT_number 160
_space_group_name_Hall 'R 3 -2"'
loop_
_atom_site_label
_atom_site_type_symbol
_atom_site_fract_x
_atom_site_fract_y
_atom_site_fract_z
Y1 Y 0.0000 0.0000 0.0000
Sc1 Sc 0.0000 0.0000 0.7682
Te1 Te 0.0000 0.0000 0.2765
Te2 Te 0.0000 0.0000 0.4821
```

***

<R>
DFT (GGA-PBE) results for a relaxed YScTe2 crystal.

Computed properties:
D(E_F) ... 9.0 states/eV/cell

```
data_YScTe2
_chemical_formula_sum 'Y4 Sc4 Te8'
_cell_length_a 7.4442
_cell_length_b 7.4442
_cell_length_c 7.4442
_cell_angle_alpha 90.00
_cell_angle_beta 90.00
_cell_angle_gamma 90.00
_space_group_name_H-M_alt 'F m -3 m'
_space_group_IT_number 225
_space_group_name_Hall '-F 4 2 3'
loop_
_atom_site_label
_atom_site_type_symbol
_atom_site_fract_x
_atom_site_fract_y
_atom_site_fract_z
Y1 Y 0.0000 0.0000 0.0000
Sc1 Sc 0.0000 0.0000 0.5000
Te1 Te 0.2500 0.2500 0.2500
```

***

<S>
DFT (GGA-PBE) results for a relaxed YScTe2 crystal.

Computed properties:
D(E_F) ... 22.5 states/eV/cell

```
data_YScTe2
_chemical_formula_sum 'Y4 Sc4 Te8'
_cell_length_a 7.5396
_cell_length_b 7.5396
_cell_length_c 7.5396
_cell_angle_alpha 90.00
_cell_angle_beta 90.00
_cell_angle_gamma 90.00
_space_group_name_H-M_alt 'F -4 3 m'
_space_group_IT_number 216
_space_group_name_Hall 'F -4 2 3'
loop_
_atom_site_label
_atom_site_type_symbol
_atom_site_fract_x
_atom_site_fract_y
_atom_site_fract_z
Y1 Y 0.0000 0.0000 0.0000
Sc1 Sc 0.2500 0.2500 0.2500
Te1 Te 0.0000 0.0000 0.5000
Te2 Te 0.2500 0.2500 0.7500
```

***

Relative to the most stable one, in meV per atom, the structures come out at <P> 0; <Q> 518; <R> 155; <S> 880.